Record 1
Compound: NdSmNp2Se4
Source: Alexandria
Functional: PBE
Structure: relaxed

Calculated values
Space group   No. 10
Density of states at the Fermi level   21.3 states/eV per cell
Raw formation energy   -1436.5 meV per atom

Unit cell a=4.1549 b=7.2447 c=7.1471 alpha=109.60 beta=90.00 gamma=90.00
Last column: nearest neighbours and their distance in Å.
Fractional positions:
Np: 0.0000 0.5000 0.5000  6 Se 2.90-2.91
Np: 0.5000 0.0000 0.5000  6 Se 2.91-2.93
Se: 0.5000 0.2558 0.2581  3 Np 2.90-2.93, 1 Sm 2.95, 2 Nd 2.98
Se: 0.5000 0.7442 0.7419  3 Np 2.90-2.93, 1 Sm 2.95, 2 Nd 2.98
Se: 0.0000 0.7512 0.2564  3 Np 2.91, 2 Sm 2.96, 1 Nd 2.97
Se: 0.0000 0.2488 0.7436  3 Np 2.91, 2 Sm 2.96, 1 Nd 2.97
Nd: 0.0000 0.0000 0.0000  6 Se 2.97-2.98
Sm: 0.5000 0.5000 0.0000  6 Se 2.95-2.96

Record 2
Compound: La2ZnSn4Au3
Source: Alexandria
Functional: PBE
Structure: relaxed

Calculated values
Space group   No. 115
Density of states at the Fermi level   3.1 states/eV per cell
Formation energy from the elements   -0.58 eV/atom

Unit cell a=4.6255 b=4.6255 c=11.5489 alpha=90.00 beta=90.00 gamma=90.00
Last column: nearest neighbours and their distance in Å.
Fractional positions:
Sn: 0.5000 0.5000 0.0000  4 Au 2.83
Sn: 0.0000 0.5000 0.3707  3 Au 2.65-2.75, 2 Zn 2.75
Sn: 0.0000 0.0000 0.0000  4 Au 2.83
Sn: 0.5000 0.0000 0.6293  3 Au 2.65-2.75, 2 Zn 2.75
Au: 0.5000 0.0000 0.8589  5 Sn 2.65-2.83
Au: 0.0000 0.5000 0.1411  5 Sn 2.65-2.83
Au: 0.0000 0.0000 0.5000  4 Sn 2.75
Zn: 0.5000 0.5000 0.5000  4 Sn 2.75
La: 0.5000 0.0000 0.2649  8 Sn 3.49-3.84, 6 Au 3.57, 2 Zn 3.57
La: 0.0000 0.5000 0.7351  8 Sn 3.49-3.84, 2 Zn 3.57, 6 Au 3.57

Record 3
Compound: Y6Te3PSe2
Source: Alexandria
Functional: PBE
Structure: relaxed

Calculated values
Space group   No. 12
Density of states at the Fermi level   5.2 states/eV per cell
Raw formation energy   -1583.1 meV per atom

Unit cell a=7.2417 b=7.2417 c=7.4290 alpha=99.32 beta=99.32 gamma=119.96
Last column: nearest neighbours and their distance in Å.
Fractional positions:
Y: 0.0702 0.3867 0.2120  1 P 2.73, 2 Se 2.89-2.90
Y: 0.3867 0.0702 0.2120  1 P 2.73, 2 Se 2.89-2.90
Y: 0.9298 0.6133 0.7880  1 P 2.73, 2 Se 2.89-2.90
Y: 0.6133 0.9298 0.7880  1 P 2.73, 2 Se 2.89-2.90
Y: 0.2434 0.2434 0.7847  1 P 2.74, 2 Se 2.90
Y: 0.7566 0.7566 0.2153  1 P 2.74, 2 Se 2.90
Te: 0.5000 0.5000 0.5000  6 Y 3.11-3.24
Te: 0.1713 0.8287 0.5000  6 Y 3.10-3.21
Te: 0.8287 0.1713 0.5000  6 Y 3.10-3.21
Se: 0.3343 0.6657 0.0000  6 Y 2.89-2.90
Se: 0.6657 0.3343 0.0000  6 Y 2.89-2.90
P: 0.0000 0.0000 0.0000  6 Y 2.73-2.74

Record 4
Compound: Pr2Nd3Ho
Source: Alexandria
Functional: PBE
Structure: relaxed

Calculated values
Space group   No. 58
ΔE to the lowest computed polymorph   184 meV per atom
Density of states at the Fermi level   20.6 states/eV per cell
Formation energy from the elements   0.24 eV/atom

Unit cell a=3.4506 b=6.8595 c=17.9749 alpha=90.00 beta=90.00 gamma=90.00
Last column: nearest neighbours and their distance in Å.
Fractional positions:
Nd: 0.5000 0.2564 0.1771  4 Pr 3.42-3.53, 2 Nd 3.45, 1 Ho 3.60
Nd: 0.5000 0.7436 0.8229  4 Pr 3.42-3.53, 2 Nd 3.45, 1 Ho 3.60
Nd: 0.0000 0.0000 0.0000  2 Nd 3.45, 4 Pr 3.61, 4 Ho 3.84
Nd: 0.0000 0.2436 0.6771  4 Pr 3.42-3.53, 2 Nd 3.45, 1 Ho 3.60
Nd: 0.0000 0.7564 0.3229  4 Pr 3.42-3.53, 2 Nd 3.45, 1 Ho 3.60
Nd: 0.5000 0.5000 0.5000  2 Nd 3.45, 4 Pr 3.61, 4 Ho 3.84
Ho: 0.5000 0.5000 0.0000  2 Pr 3.26, 2 Ho 3.45, 2 Nd 3.60
Ho: 0.0000 0.0000 0.5000  2 Pr 3.26, 2 Ho 3.45, 2 Nd 3.60
Pr: 0.0000 0.2632 0.3487  1 Ho 3.26, 6 Nd 3.42-3.61, 2 Pr 3.45
Pr: 0.0000 0.7368 0.6513  1 Ho 3.26, 6 Nd 3.42-3.61, 2 Pr 3.45
Pr: 0.5000 0.2368 0.8487  1 Ho 3.26, 6 Nd 3.42-3.61, 2 Pr 3.45
Pr: 0.5000 0.7632 0.1513  1 Ho 3.26, 6 Nd 3.42-3.61, 2 Pr 3.45

Record 5
Compound: SmDyBeGa
Source: Alexandria
Functional: PBE
Structure: relaxed

Calculated values
Space group   No. 216
Density of states at the Fermi level   3.7 states/eV per cell
Formation energy from the elements   -0.21 eV/atom

Unit cell a=5.0038 b=5.0038 c=5.0038 alpha=60.00 beta=60.00 gamma=60.00
Last column: nearest neighbours and their distance in Å.
Fractional positions:
Sm: 0.2500 0.2500 0.2500  4 Be 3.06, 4 Ga 3.06
Ga: 0.0000 0.0000 0.0000  4 Dy 3.06, 4 Sm 3.06
Dy: 0.7500 0.7500 0.7500  4 Ga 3.06, 4 Be 3.06
Be: 0.5000 0.5000 0.5000  4 Sm 3.06, 4 Dy 3.06

Record 6
Compound: GdPaTlGa
Source: Alexandria
Functional: PBE
Structure: relaxed

Calculated values
Space group   No. 216
Density of states at the Fermi level   9.2 states/eV per cell
Formation energy from the elements   -0.08 eV/atom

Unit cell a=5.2574 b=5.2574 c=5.2574 alpha=60.00 beta=60.00 gamma=60.00
Last column: nearest neighbours and their distance in Å.
Fractional positions:
Ga: 0.2500 0.2500 0.2500  4 Gd 3.22, 4 Pa 3.22
Gd: 0.5000 0.5000 0.5000  4 Tl 3.22, 4 Ga 3.22
Tl: 0.7500 0.7500 0.7500  4 Gd 3.22, 4 Pa 3.22
Pa: 0.0000 0.0000 0.0000  4 Tl 3.22, 4 Ga 3.22

- Which formula does entry 2 have?
  La2ZnSn4Au3